[1]
TaMnAl2Au | Alexandria via LeMat-Bulk | GGA-PBEsol | optimized geometry; E_form = 1022 meV per atom; uncorrected energy = -5.862 eV per atom; D(E_F) = 0.724 states/eV per atom; crystal system = tetragonal
1.0
4.599 0.000 0.000
0.000 4.599 0.000
0.000 0.000 4.776
Au Al Mn Ta
1 2 1 1
Cartesian
0.000 0.000 0.000
2.300 0.000 0.000
0.000 2.300 0.000
0.000 0.000 2.388
2.300 2.300 2.388



[2]
Sc2MoP | Alexandria via LeMat-Bulk | GGA-PBEsol | optimized geometry; E_form = -358 meV per atom; uncorrected energy = -8.051 eV per atom; D(E_F) = 0.810 states/eV per atom; crystal system = orthorhombic
1.0
-0.265 -2.761 -1.230
1.104 -0.427 2.794
-7.271 -0.545 2.789
P Sc Mo
1 2 1
Cartesian
0.419 -1.594 0.782
-1.678 -0.126 0.644
-5.593 -0.419 2.145
-3.216 -1.867 2.176



[3]
LaY2Cl | Alexandria via LeMat-Bulk | GGA-PBEsol | optimized geometry; offset from the most stable computed form = 0.000 eV/atom; uncorrected energy = -5.484 eV per atom; D(E_F) = 1.176 states/eV per atom; formation energy (no corrections) = -0.94 eV/f.u.; crystal system = tetragonal
1.0
-2.717 -1.161 1.796
3.120 0.047 4.751
-1.620 5.354 1.011
Y La Cl
2 1 1
Cartesian
1.560 0.024 2.376
-0.810 2.677 0.505
-1.358 -0.581 0.898
-0.608 2.120 3.779



[4]
Mg3Sc | Alexandria via LeMat-Bulk | GGA-PBEsol | optimized geometry; E_form = -1 meV per atom; uncorrected energy = -2.940 eV per atom; D(E_F) = 0.743 states/eV per atom; crystal system = monoclinic
1.0
-2.362 1.712 -0.980
-2.001 -0.191 4.488
3.943 4.234 1.939
Mg Sc
3 1
Cartesian
0.971 2.021 3.214
0.559 1.374 0.308
1.022 4.573 0.651
-2.182 0.760 1.754